# LaRh3S | the Alexandria database | GGA-PBEsol | optimized geometry
data_LaRh3S
_chemical_formula_sum 'La1 Rh3 S1'
_cell_length_a 4.4559
_cell_length_b 4.4559
_cell_length_c 4.4559
_cell_angle_alpha 90.00
_cell_angle_beta 90.00
_cell_angle_gamma 90.00
_symmetry_space_group_name_H-M 'P m -3 m'
_symmetry_Int_Tables_number 221
_symmetry_space_group_name_Hall '-P 4 2 3'
loop_
_atom_site_label
_atom_site_fract_x
_atom_site_fract_y
_atom_site_fract_z
La1 0.0000 0.0000 0.0000
Rh1 0.0000 0.5000 0.5000
S1 0.5000 0.5000 0.5000
# DOS(E_F): 4.771 states/eV/cell
# E: -36.67 eV for the cell shown